1.
Crystalline TmZr2Sc6 at its relaxed geometry, computed with GGA-PBE.

Size of the total moment in μB per formula unit: 0.00
Energy above the most stable polymorph in this dataset in eV per formula unit: 0.35
Uncorrected energy in eV/f.u.: -58.83
Energy of formation from the pure elements in eV per atom: 0.081
Density in Mg/m³: 4.6

Cell lengths 11.476, 13.474, 5.971 Å; angles 90.00, 104.45, 90.00 degrees
Space group C2/c (No. 15)
One atom of each set of equivalent atoms:
Tm: 0.000 0.108 0.250
Zr: 0.136 0.479 0.369
Sc: 0.050 0.317 0.022
Sc: 0.147 0.097 0.818
Sc: 0.231 0.308 0.702

***

2.
Crystalline LaNiPd2 at its relaxed geometry, computed with GGA-PBE.

Size of the total moment in μB per formula unit: 0.00
Uncorrected energy in eV/f.u.: -23.18
Energy of formation from the pure elements in eV per atom: -0.521
Density in Mg/m³: 9.5

Cell lengths 4.150, 4.150, 4.185 Å; angles 90.00, 90.00, 90.00 degrees
Space group P4/mmm (No. 123)
One atom of each set of equivalent atoms:
La: 0.000 0.000 0.000
Ni: 0.500 0.500 0.000
Pd: 0.000 0.500 0.500

***

3.
Crystalline Mn2MoAu at its relaxed geometry, computed with GGA-PBE.

Size of the total moment in μB per formula unit: 5.78
Energy above the most stable polymorph in this dataset in eV per formula unit: 0.53
Uncorrected energy in eV/f.u.: -31.44
Energy of formation from the pure elements in eV per atom: 0.252
Density in Mg/m³: 11.0

Cell lengths 8.768, 2.782, 5.054 Å; angles 90.00, 98.54, 90.00 degrees
Space group C2/m (No. 12)
One atom of each set of equivalent atoms:
Mn: 0.250 0.000 0.234
Mo: 0.000 0.500 0.000
Au: 0.000 0.000 0.500

***

4.
Crystalline KLi3Hg4Br12 at its relaxed geometry, computed with GGA-PBE.

Size of the total moment in μB per formula unit: 0.00
Uncorrected energy in eV/f.u.: -45.12
ΔE_f (raw) in eV per atom: -0.850
Density in Mg/m³: 4.4

Cell lengths 15.1020, 15.1020, 10.4351 Å; angles 90.00, 90.00, 120.00 degrees
Space group R32 (No. 155, hexagonal axes)
One atom of each set of equivalent atoms:
K: 0.0000 0.0000 0.0000
Li: 0.0000 0.5619 0.0000
Hg: 0.0000 0.0000 0.5000
Hg: 0.0000 0.4330 0.5000
Br: 0.0000 0.6057 0.5000
Br: 0.0000 0.8287 0.5000
Br: 0.0649 0.2211 0.1731